# CrGaTe2N PBE-GGA relaxed
# mass density: 5.93 g cm⁻³
# SG: P4/mmm, No. 123
# density of states at the Fermi level: 6.0 states/eV/cell
# energy above the lowest structure with this stoichiometry: 5.25 eV per formula unit
# formation energy from raw total energies: 1.1527 eV per atom
data_CrGaTe2N
_cell_length_a 5.584
_cell_length_b 5.584
_cell_length_c 3.512
_cell_angle_alpha 90.00
_cell_angle_beta 90.00
_cell_angle_gamma 90.00
_symmetry_space_group_name_H-M 'P 1'
_symmetry_Int_Tables_number 1
_symmetry_space_group_name_Hall 'P 1'
loop_
_atom_site_label
_atom_site_type_symbol
_atom_site_fract_x
_atom_site_fract_y
_atom_site_fract_z
Cr1 Cr 0.500 0.500 0.500
Te1 Te 0.000 0.500 0.000
Te2 Te 0.500 0.000 0.000
Ga1 Ga 0.000 0.000 0.000
N1 N 0.000 0.000 0.500